No. 1
Computed, not measured: Ba2Mg4Pt after structural relaxation at the PBE level of DFT.

## Properties
**M_tot**: 0.00 μB/cell
**D(E_F)**: 5.89 states/eV/f.u.
**Space-group type**: I4/mmm
**Energy relative to the elements**: -0.25 eV/atom

POSCAR file:
```
Ba2Mg4Pt
1.0
5.125 0.000 0.000
0.000 5.125 0.000
2.563 2.563 9.572
Pt Ba Mg
1 2 4
direct
0.000 0.000 0.000 Pt
0.331 0.331 0.338 Ba
0.669 0.669 0.662 Ba
0.868 0.868 0.264 Mg
0.132 0.132 0.736 Mg
0.500 0.000 0.000 Mg
0.000 0.500 0.000 Mg
```


No. 2
Computed, not measured: Y2Er2Tm5 after structural relaxation at the PBE level of DFT.

## Properties
**M_tot**: 0.00 μB/cell
**Energy relative to the lowest polymorph listed for this composition**: 0.0000 eV per atom
**D(E_F)**: 19.82 states/eV/f.u.
**Space-group type**: C2/m
**Energy relative to the elements**: 0.12 eV/atom

POSCAR file:
```
Y2Er2Tm5
1.0
-4.721 -3.086 0.603
-0.448 -2.948 8.082
-3.903 2.331 8.052
Er Tm Y
2 5 2
direct
0.101 0.311 0.487 Er
0.899 0.689 0.513 Er
0.000 0.000 0.000 Tm
0.681 0.997 0.641 Tm
0.208 0.653 0.930 Tm
0.792 0.347 0.070 Tm
0.319 0.003 0.359 Tm
0.438 0.336 0.789 Y
0.562 0.664 0.211 Y
```


No. 3
Computed, not measured: CaBI2 after structural relaxation at the PBE level of DFT.

## Properties
**M_tot**: 0.00 μB/cell
**Energy relative to the lowest polymorph listed for this composition**: 0.0509 eV per atom
**ΔE_f (raw)**: 335 meV per atom
**D(E_F)**: 1.61 states/eV/f.u.
**Space-group type**: I-42d

POSCAR file:
```
CaBI2
1.0
-4.545 -2.239 -2.670
-0.037 -4.356 3.718
-7.669 1.283 5.838
I Ca B
4 2 2
direct
0.875 0.850 0.750 I
0.150 0.625 0.250 I
0.375 0.400 0.750 I
0.600 0.125 0.250 I
0.750 0.250 0.500 Ca
0.000 0.000 0.000 Ca
0.500 0.500 0.000 B
0.250 0.750 0.500 B
```


No. 4
Computed, not measured: NbVCd after structural relaxation at the PBE level of DFT.

## Properties
**M_tot**: 0.00 μB/cell
**Energy relative to the lowest polymorph listed for this composition**: 0.0359 eV per atom
**D(E_F)**: 2.87 states/eV/f.u.
**Space-group type**: P-1
**Energy relative to the elements**: 0.18 eV/atom

POSCAR file:
```
NbVCd
1.0
-0.204 -1.743 -2.211
1.512 -3.877 2.406
-7.118 -2.801 2.236
Nb V Cd
2 2 2
direct
0.522 0.206 0.302 Nb
0.478 0.794 0.698 Nb
0.140 0.698 0.415 V
0.860 0.302 0.585 V
0.191 0.262 0.919 Cd
0.809 0.738 0.081 Cd
```


No. 5
Computed, not measured: HfZrAgSn after structural relaxation at the PBE level of DFT.

## Properties
**M_tot**: 0.00 μB/cell
**D(E_F)**: 3.20 states/eV/f.u.
**Space-group type**: F-43m
**Energy relative to the elements**: -0.15 eV/atom

POSCAR file:
```
HfZrAgSn
1.0
4.916 0.000 0.000
2.458 4.258 0.000
2.458 1.419 4.014
Hf Zr Ag Sn
1 1 1 1
direct
0.500 0.500 0.500 Hf
0.000 0.000 0.000 Zr
0.750 0.750 0.750 Ag
0.250 0.250 0.250 Sn
```


No. 6
Computed, not measured: TlTcAsO6 after structural relaxation at the PBE level of DFT.

## Properties
**M_tot**: 0.54 μB/cell
**ΔE_f (raw)**: -1166 meV per atom
**D(E_F)**: 2.87 states/eV/f.u.
**Space-group type**: P312

POSCAR file:
```
TlTcAsO6
1.0
-2.946 -2.874 -3.117
1.810 -4.455 -1.879
-2.230 -2.938 4.817
O Tl As Tc
6 1 1 1
direct
0.590 0.006 0.320 O
0.006 0.590 0.680 O
0.404 0.006 0.680 O
0.006 0.404 0.320 O
0.404 0.590 0.320 O
0.590 0.404 0.680 O
0.000 0.000 0.000 Tl
0.333 0.333 0.500 As
0.667 0.667 0.500 Tc
```


No. 7
Computed, not measured: Pr4SmY3 after structural relaxation at the PBE level of DFT.

## Properties
**M_tot**: 0.00 μB/cell
**Energy relative to the lowest polymorph listed for this composition**: 0.0000 eV per atom
**D(E_F)**: 14.59 states/eV/f.u.
**Space-group type**: Pmn2_1
**Energy relative to the elements**: 0.03 eV/atom

POSCAR file:
```
Pr4SmY3
1.0
6.387 0.000 0.000
0.000 7.396 0.000
0.000 0.000 11.766
Pr Sm Y
8 2 6
direct
0.145 0.872 0.000 Pr
0.481 0.874 0.752 Pr
0.481 0.874 0.248 Pr
0.645 0.128 0.500 Pr
0.981 0.126 0.252 Pr
0.152 0.872 0.500 Pr
0.652 0.128 0.000 Pr
0.981 0.126 0.748 Pr
0.148 0.375 0.000 Sm
0.648 0.625 0.500 Sm
0.147 0.379 0.500 Y
0.981 0.621 0.750 Y
0.981 0.621 0.250 Y
0.481 0.379 0.750 Y
0.481 0.379 0.250 Y
0.647 0.621 0.000 Y
```


No. 8
Computed, not measured: Ir2PdRuBr after structural relaxation at the PBE level of DFT.

## Properties
**M_tot**: 6.17 μB/cell
**Energy relative to the lowest polymorph listed for this composition**: 0.4894 eV per atom
**ΔE_f (raw)**: 2138 meV per atom
**D(E_F)**: 7.89 states/eV/f.u.
**Space-group type**: P4/mmm

POSCAR file:
```
Ir2PdRuBr
1.0
-4.709 -0.163 -1.103
-0.522 -3.969 2.817
-0.988 2.828 3.801
Ir Pd Br Ru
2 1 1 1
direct
0.000 0.000 0.500 Ir
0.500 0.000 0.000 Ir
0.000 0.000 0.000 Pd
0.500 0.500 0.500 Br
0.000 0.500 0.000 Ru
```


No. 9
Computed, not measured: LaYNiRu after structural relaxation at the PBE level of DFT.

## Properties
**M_tot**: 0.00 μB/cell
**D(E_F)**: 4.10 states/eV/f.u.
**Space-group type**: F-43m
**Energy relative to the elements**: -0.25 eV/atom

POSCAR file:
```
LaYNiRu
1.0
4.926 0.000 0.000
2.463 4.266 0.000
2.463 1.422 4.022
Ru La Y Ni
1 1 1 1
direct
0.000 0.000 0.000 Ru
0.250 0.250 0.250 La
0.750 0.750 0.750 Y
0.500 0.500 0.500 Ni
```


No. 10
Computed, not measured: Hf6CN2 after structural relaxation at the PBE level of DFT.

## Properties
**M_tot**: 0.00 μB/cell
**Energy relative to the lowest polymorph listed for this composition**: 0.0000 eV per atom
**ΔE_f (raw)**: -1055 meV per atom
**D(E_F)**: 7.01 states/eV/f.u.
**Space-group type**: P-31m

POSCAR file:
```
Hf6CN2
1.0
-1.836 2.517 4.202
0.923 -4.574 3.143
4.031 3.885 -0.566
N Hf C
2 6 1
direct
0.500 0.333 0.667 N
0.500 0.667 0.333 N
0.257 0.666 0.000 Hf
0.743 0.666 0.666 Hf
0.743 0.000 0.334 Hf
0.257 0.334 0.334 Hf
0.743 0.334 0.000 Hf
0.257 0.000 0.666 Hf
0.500 0.000 0.000 C
```


No. 11
Computed, not measured: TaVS3 after structural relaxation at the PBE level of DFT.

## Properties
**M_tot**: 8.44 μB/cell
**Energy relative to the lowest polymorph listed for this composition**: 0.0000 eV per atom
**ΔE_f (raw)**: -763 meV per atom
**D(E_F)**: 3.29 states/eV/f.u.
**Space-group type**: C2/c

POSCAR file:
```
TaVS3
1.0
-3.774 -3.021 3.224
2.898 -6.053 -4.358
6.617 -1.537 4.229
S Ta V
12 4 4
direct
0.470 0.709 0.542 S
0.441 0.033 0.181 S
0.474 0.384 0.869 S
0.530 0.291 0.458 S
0.030 0.458 0.291 S
0.941 0.181 0.033 S
0.059 0.819 0.967 S
0.026 0.131 0.616 S
0.974 0.869 0.384 S
0.970 0.542 0.709 S
0.559 0.967 0.819 S
0.526 0.616 0.131 S
0.158 0.177 0.320 Ta
0.842 0.823 0.680 Ta
0.342 0.680 0.823 Ta
0.658 0.320 0.177 Ta
0.750 0.260 0.740 V
0.250 0.111 0.889 V
0.750 0.889 0.111 V
0.250 0.740 0.260 V
```


No. 12
Computed, not measured: K5CoCl8 after structural relaxation at the PBE level of DFT.

## Properties
**M_tot**: 4.00 μB/cell
**ΔE_f (raw)**: -1482 meV per atom
**D(E_F)**: 6.50 states/eV/f.u.
**Space-group type**: I-4

POSCAR file:
```
K5CoCl8
1.0
-1.226 6.191 -6.016
5.069 -6.679 -2.393
-8.400 -1.899 1.369
Cl K Co
8 5 1
direct
0.720 0.387 0.896 Cl
0.148 0.699 0.853 Cl
0.147 0.295 0.846 Cl
0.667 0.176 0.280 Cl
0.104 0.824 0.491 Cl
0.551 0.705 0.852 Cl
0.509 0.613 0.333 Cl
0.154 0.301 0.449 Cl
0.771 0.591 0.591 K
0.409 0.180 0.000 K
0.820 0.820 0.229 K
0.500 0.000 0.500 K
0.000 0.409 0.180 K
0.250 0.500 0.750 Co
```


No. 13
Computed, not measured: CoCuOs2 after structural relaxation at the PBE level of DFT.

## Properties
**M_tot**: 1.35 μB/cell
**Energy relative to the lowest polymorph listed for this composition**: 0.2544 eV per atom
**D(E_F)**: 5.19 states/eV/f.u.
**Space-group type**: Fm-3m
**Energy relative to the elements**: 0.49 eV/atom

POSCAR file:
```
CoCuOs2
1.0
0.000 2.948 2.948
2.948 0.000 2.948
2.948 2.948 0.000
Co Os Cu
1 2 1
direct
0.000 0.000 0.000 Co
0.250 0.250 0.250 Os
0.750 0.750 0.750 Os
0.500 0.500 0.500 Cu
```


No. 14
Computed, not measured: Ba2LiZn3Sb4 after structural relaxation at the PBE level of DFT.

## Properties
**M_tot**: 0.00 μB/cell
**ΔE_f (raw)**: -559 meV per atom
**D(E_F)**: 3.25 states/eV/f.u.
**Space-group type**: P-4m2

POSCAR file:
```
Ba2LiZn3Sb4
1.0
5.059 0.000 0.000
0.000 5.059 0.000
0.000 0.000 10.636
Zn Ba Sb Li
3 2 4 1
direct
0.000 0.000 0.500 Zn
0.500 0.000 0.883 Zn
0.000 0.500 0.117 Zn
0.000 0.500 0.749 Ba
0.500 0.000 0.251 Ba
0.000 0.500 0.372 Sb
0.500 0.500 0.000 Sb
0.500 0.000 0.628 Sb
0.000 0.000 0.000 Sb
0.500 0.500 0.500 Li
```


No. 15
Computed, not measured: BeFe2H after structural relaxation at the PBE level of DFT.

## Properties
**M_tot**: 2.80 μB/cell
**Energy relative to the lowest polymorph listed for this composition**: 0.0000 eV per atom
**D(E_F)**: 2.28 states/eV/f.u.
**Space-group type**: R3m

POSCAR file:
```
BeFe2H
1.0
-2.218 0.234 -1.158
-2.114 -0.669 1.183
-1.974 5.262 2.118
Fe Be H
2 1 1
direct
0.062 0.062 0.813 Fe
0.271 0.271 0.187 Fe
0.499 0.499 0.500 Be
0.667 0.667 0.999 H
```


No. 16
Computed, not measured: Zn2HgW after structural relaxation at the PBE level of DFT.

## Properties
**M_tot**: 0.00 μB/cell
**D(E_F)**: 0.61 states/eV/f.u.
**Space-group type**: Cmmm
**Energy relative to the elements**: 0.37 eV/atom

POSCAR file:
```
Zn2HgW
1.0
-4.457 -1.933 1.129
2.691 -3.406 -2.456
1.034 -0.953 2.454
Zn Hg W
2 1 1
direct
0.500 0.500 0.000 Zn
0.000 0.000 0.000 Zn
0.500 0.000 0.500 Hg
0.000 0.500 0.500 W
```


No. 17
Computed, not measured: CsLiUBr5 after structural relaxation at the PBE level of DFT.

## Properties
**M_tot**: 6.00 μB/cell
**ΔE_f (raw)**: -1479 meV per atom
**D(E_F)**: 0.22 states/eV/f.u.
**Space-group type**: C2/c

POSCAR file:
```
CsLiUBr5
1.0
8.219 0.035 -0.080
-2.365 7.871 -0.080
-2.526 -3.412 10.173
Br U Cs Li
10 2 2 2
direct
0.375 0.233 0.082 Br
0.767 0.625 0.418 Br
0.303 0.896 0.604 Br
0.929 0.071 0.750 Br
0.233 0.375 0.582 Br
0.071 0.929 0.250 Br
0.104 0.697 0.896 Br
0.896 0.303 0.104 Br
0.697 0.104 0.396 Br
0.625 0.767 0.918 Br
0.000 0.000 0.500 U
0.000 0.000 0.000 U
0.345 0.655 0.250 Cs
0.655 0.345 0.750 Cs
0.307 0.693 0.750 Li
0.693 0.307 0.250 Li
```


No. 18
Computed, not measured: TlCuSnRu2 after structural relaxation at the PBE level of DFT.

## Properties
**M_tot**: 0.00 μB/cell
**Energy relative to the lowest polymorph listed for this composition**: 0.0000 eV per atom
**D(E_F)**: 4.17 states/eV/f.u.
**Space-group type**: P4/mmm
**Energy relative to the elements**: 1.15 eV/atom

POSCAR file:
```
TlCuSnRu2
1.0
4.674 0.000 0.000
0.000 4.634 0.000
0.000 0.000 4.674
Ru Sn Cu Tl
2 1 1 1
direct
0.000 0.000 0.500 Ru
0.500 0.000 0.000 Ru
0.500 0.500 0.500 Sn
0.000 0.000 0.000 Cu
0.000 0.500 0.000 Tl
```


No. 19
Computed, not measured: AgPSeN2 after structural relaxation at the PBE level of DFT.

## Properties
**M_tot**: 0.41 μB/cell
**Energy relative to the lowest polymorph listed for this composition**: 0.0000 eV per atom
**ΔE_f (raw)**: 872 meV per atom
**D(E_F)**: 2.84 states/eV/f.u.
**Space-group type**: P4/mmm

POSCAR file:
```
AgPSeN2
1.0
-2.287 2.281 -1.284
-2.140 -2.612 -0.828
-2.694 0.439 5.580
N Ag P Se
2 1 1 1
direct
0.500 0.000 0.000 N
0.000 0.500 0.000 N
0.500 0.500 0.500 Ag
0.000 0.000 0.000 P
0.000 0.000 0.500 Se
```


No. 20
Computed, not measured: CeSmRuCl after structural relaxation at the PBE level of DFT.

## Properties
**M_tot**: 0.34 μB/cell
**ΔE_f (raw)**: -919 meV per atom
**D(E_F)**: 3.89 states/eV/f.u.
**Space-group type**: R3m

POSCAR file:
```
CeSmRuCl
1.0
3.925 0.000 0.000
-1.962 3.399 0.000
-1.962 -1.132 7.714
Sm Ce Ru Cl
1 1 1 1
direct
0.494 0.145 0.654 Sm
0.100 0.948 0.063 Ce
0.316 0.556 0.887 Ru
0.969 0.383 0.366 Cl
```


No. 21
Computed, not measured: ReO2F after structural relaxation at the PBE level of DFT.

## Properties
**M_tot**: 0.00 μB/cell
**Energy relative to the lowest polymorph listed for this composition**: 0.5339 eV per atom
**ΔE_f (raw)**: -919 meV per atom
**D(E_F)**: 3.00 states/eV/f.u.
**Space-group type**: I-42d

POSCAR file:
```
ReO2F
1.0
-1.276 -5.475 -1.286
2.422 -1.725 4.941
-3.323 -3.176 3.886
F O Re
2 4 2
direct
0.500 0.500 0.000 F
0.250 0.750 0.500 F
0.882 0.625 0.250 O
0.375 0.132 0.750 O
0.868 0.125 0.250 O
0.875 0.118 0.750 O
0.750 0.250 0.500 Re
0.000 0.000 0.000 Re
```


No. 22
Computed, not measured: RbScBAu2 after structural relaxation at the PBE level of DFT.

## Properties
**M_tot**: 0.76 μB/cell
**D(E_F)**: 4.11 states/eV/f.u.
**Space-group type**: P4/mmm
**Energy relative to the elements**: 0.62 eV/atom

POSCAR file:
```
RbScBAu2
1.0
-0.714 -2.351 -3.716
1.898 -4.421 2.433
-4.108 -0.986 1.413
Au B Rb Sc
2 1 1 1
direct
0.500 0.000 0.000 Au
0.000 0.000 0.500 Au
0.000 0.000 0.000 B
0.000 0.500 0.000 Rb
0.500 0.500 0.500 Sc
```


No. 23
Computed, not measured: RbNa2LiTe after structural relaxation at the PBE level of DFT.

## Properties
**M_tot**: 0.00 μB/cell
**ΔE_f (raw)**: -380 meV per atom
**D(E_F)**: 2.24 states/eV/f.u.
**Space-group type**: P4/mmm

POSCAR file:
```
RbNa2LiTe
1.0
6.267 0.000 0.000
0.000 6.267 0.000
0.000 0.000 5.452
Rb Na Li Te
1 2 1 1
direct
0.500 0.500 0.500 Rb
0.500 0.000 0.000 Na
0.000 0.500 0.000 Na
0.000 0.000 0.500 Li
0.000 0.000 0.000 Te
```


No. 24
Computed, not measured: Cr2Ir after structural relaxation at the PBE level of DFT.

## Properties
**M_tot**: 0.00 μB/cell
**D(E_F)**: 3.80 states/eV/f.u.
**Space-group type**: Immm
**Energy relative to the elements**: -0.01 eV/atom

POSCAR file:
```
Cr2Ir
1.0
-0.382 -4.007 2.156
-3.827 -1.089 2.241
1.863 1.199 -3.993
Cr Ir
2 1
direct
0.332 0.332 0.000 Cr
0.668 0.668 0.000 Cr
0.000 0.000 0.000 Ir
```


No. 25
Computed, not measured: AcPmSnSb after structural relaxation at the PBE level of DFT.

## Properties
**M_tot**: 0.00 μB/cell
**ΔE_f (raw)**: -686 meV per atom
**D(E_F)**: 4.87 states/eV/f.u.
**Space-group type**: F-43m

POSCAR file:
```
AcPmSnSb
1.0
-4.896 0.587 2.758
-3.393 -4.461 0.714
-0.640 -2.270 5.134
Pm Sb Sn Ac
1 1 1 1
direct
0.750 0.750 0.750 Pm
0.000 0.000 0.000 Sb
0.500 0.500 0.500 Sn
0.250 0.250 0.250 Ac
```